1.
12
Lattice="5.790 0.000 0.000 -2.895 5.015 0.000 0.000 0.000 6.473" Properties=species:S:1:pos:R:3 comment="PBE Sr3ScPd2O6, optimized geometry" formation_energy_uncorrected_ev_per_atom=-1.878 final_energy_ev_per_atom=-6.171 space_group="P-3m1 (164)" pbc="T T T"
Sr 0.000 3.343 4.023
Sr 2.895 1.672 2.450
Sr 0.000 0.000 0.000
Sc 0.000 0.000 3.236
Pd 2.895 1.672 5.696
Pd 0.000 3.343 0.776
O 1.464 4.188 1.993
O 0.000 1.653 1.993
O -1.464 4.188 1.993
O 2.895 3.362 4.480
O 1.431 0.826 4.480
O 4.359 0.826 4.480

=====

2.
4
Lattice="3.788 0.000 0.000 1.894 3.281 0.000 1.894 1.094 10.118" Properties=species:S:1:pos:R:3 comment="PBE KSmCl2, optimized geometry" formation_energy_uncorrected_ev_per_atom=-1.420 final_energy_ev_per_atom=-3.798 space_group="R-3m (166)" pbc="T T T"
K 0.000 0.000 0.000
Sm 3.788 2.187 5.059
Cl 1.894 1.094 6.959
Cl 5.682 3.281 3.159

=====

3.
10
Lattice="-2.421 -1.840 4.515 5.297 -7.245 -0.112 4.033 9.064 2.575" Properties=species:S:1:pos:R:3 comment="PBE Ac4La5Ho, optimized geometry" formation_enthalpy_0k_ev_per_atom=0.243 final_energy_ev_per_atom=-4.322 space_group="C2/m (12)" pbc="T T T"
Ac 4.863 1.141 3.073
Ac 5.277 1.564 6.748
Ac 2.047 -1.162 3.905
Ac 1.633 -1.584 0.230
La 1.991 2.381 5.319
La 5.377 -1.781 5.438
La 1.533 1.761 1.539
La 1.438 -4.542 2.201
La 4.918 -2.401 1.659
Ho -1.210 -0.920 2.257

=====

4.
11
Lattice="-2.938 1.746 -5.297 -2.616 -4.829 -0.142 -4.440 2.293 3.843" Properties=species:S:1:pos:R:3 comment="PBE Na2Ga7Ir2, optimized geometry" formation_enthalpy_0k_ev_per_atom=-0.138 final_energy_ev_per_atom=-3.915 space_group="Cmmm (65)" pbc="T T T"
Na -7.540 0.997 -1.299
Na -2.454 -1.787 -0.297
Ga -2.884 -0.080 1.885
Ga -3.421 -2.730 -2.754
Ga -7.110 -0.710 -3.481
Ga -6.573 1.940 1.158
Ga 0.000 0.000 0.000
Ga -5.630 -1.564 -0.832
Ga -4.364 0.774 -0.764
Ir -5.949 -2.939 -3.038
Ir -4.046 2.149 1.442

=====

5.
10
Lattice="-0.754 3.446 -2.272 -5.221 -0.131 1.535 1.190 3.103 4.311" Properties=species:S:1:pos:R:3 comment="PBE LiPtRh2O6, optimized geometry" formation_energy_uncorrected_ev_per_atom=-0.090 final_energy_ev_per_atom=-5.331 space_group="P4mm (99)" pbc="T T T"
Li -0.452 2.067 -1.363
Pt -2.527 3.825 1.381
Rh -3.319 3.170 -1.366
Rh -0.113 4.787 0.022
O -1.548 3.269 -0.233
O -0.944 4.844 1.954
O -2.165 2.170 2.472
O -0.111 0.507 -0.334
O -3.593 4.778 2.733
O -4.197 3.203 0.546

=====

6.
4
Lattice="-3.390 0.901 -3.566 2.277 -0.557 -2.305 -0.292 -5.932 -1.221" Properties=species:S:1:pos:R:3 comment="PBE Tl2MoPb, optimized geometry" formation_enthalpy_0k_ev_per_atom=0.666 final_energy_ev_per_atom=-4.152 space_group="Pm (6)" polymorph_energy_ev_per_atom=0.177 pbc="T T T"
Mo 0.545 -3.243 -1.337
Pb -0.283 -4.116 -4.279
Tl 0.087 -0.244 -0.144
Tl -0.761 -1.230 -3.095